Record 1
First-principles (PBE) data for Fe2SbRh after structural relaxation, as listed in the Alexandria database.

Unit cell a=3.0285 b=3.0285 c=23.5705 alpha=90.00 beta=90.00 gamma=120.00
Last column: nearest neighbours and their distance in Å.
Space group R3m (No. 160, hexagonal axes)
Unique sites:
Fe  0.0000  0.0000  0.0000  3 Fe 2.47, 3 Rh 2.62
Fe  0.0000  0.0000  0.2596  3 Fe 2.47, 3 Sb 2.70
Sb  0.0000  0.0000  0.5057  3 Fe 2.70, 3 Rh 2.74
Rh  0.0000  0.0000  0.7496  3 Fe 2.62, 3 Sb 2.74

The formation energy without anion corrections is 250 meV/atom. Its total energy is -6.85 eV/atom. For the total magnetic moment, the calculation gives 16.2 μB/cell. As for the crystal system: trigonal. For the density of states at the Fermi level, the calculation gives 8.563 states/eV/cell.

Record 2
First-principles (PBE) data for PrCd5Pd after structural relaxation, as listed in the Alexandria database.

Unit cell a=4.7935 b=4.7935 c=7.4176 alpha=90.00 beta=90.00 gamma=90.00
Last column: nearest neighbours and their distance in Å.
Space group P4/mmm (No. 123)
Unique sites:
Pr  0.0000  0.0000  0.0000  12 Cd 3.27-3.39
Cd  0.0000  0.5000  0.2995  2 Pd 2.82, 1 Cd 2.97
Cd  0.5000  0.5000  0.0000  8 Cd 3.27, 4 Pr 3.39
Pd  0.0000  0.0000  0.5000  8 Cd 2.82

Its total energy is -2.37 eV/atom. For the total magnetic moment, the calculation gives 0.0 μB/cell. As for the crystal system: tetragonal. The formation energy is -0.29 eV per atom. For the density of states at the Fermi level, the calculation gives 5.618 states/eV/cell.

Record 3
First-principles (PBE) data for BaAg2Au4 after structural relaxation, as listed in the Alexandria database.

Unit cell a=7.4336 b=7.4336 c=5.5574 alpha=90.00 beta=90.00 gamma=90.00
Last column: nearest neighbours and their distance in Å.
Space group I4/mmm (No. 139)
Unique sites:
Ba  0.0000  0.0000  0.0000  12 Au 3.23-3.44
Ag  0.0000  0.5000  0.2500  2 Ag 2.78, 8 Au 3.03
Au  0.1932  0.1932  0.5000  4 Au 2.87-3.02, 4 Ag 3.03

Its total energy is -3.28 eV/atom. For the total magnetic moment, the calculation gives 0.0 μB/cell. As for the crystal system: tetragonal. The formation energy is -0.31 eV per atom. For the density of states at the Fermi level, the calculation gives 6.294 states/eV/cell.

Record 4
First-principles (PBE) data for Cs3Mg3Tl8 after structural relaxation, as listed in the Alexandria database.

Unit cell a=5.1160 b=13.2218 c=15.0231 alpha=90.00 beta=90.00 gamma=90.00
Last column: nearest neighbours and their distance in Å.
Space group Immm (No. 71)
Unique sites:
Cs  0.0000  0.0000  0.0000  2 Cs 4.14, 12 Tl 4.28-4.40
Cs  0.0000  0.0000  0.2758  8 Tl 3.82-3.97, 4 Mg 3.96-4.23, 1 Cs 4.14
Mg  0.0000  0.1574  0.5000  6 Tl 3.14-3.35, 2 Mg 3.30
Mg  0.0000  0.5000  0.0000  4 Tl 3.11, 4 Mg 3.30
Tl  0.0000  0.3055  0.1167  3 Mg 3.11-3.14, 3 Tl 3.18-3.25
Tl  0.0000  0.3243  0.3321  3 Tl 3.18-3.25, 1 Mg 3.35

Its total energy is -1.91 eV/atom. For the total magnetic moment, the calculation gives 0.0 μB/cell. As for the crystal system: orthorhombic. The formation energy is -0.03 eV per atom. For the density of states at the Fermi level, the calculation gives 14.322 states/eV/cell.

Record 5
First-principles (PBE) data for Na2GeI2Br2 after structural relaxation, as listed in the Alexandria database.

Unit cell a=4.4289 b=7.8439 c=8.1934 alpha=118.26 beta=105.55 gamma=90.29
Last column: nearest neighbours and their distance in Å.
Space group P-1 (No. 2)
Unique sites:
Na  0.2168  0.1700  0.4279  3 Br 2.88-2.98
Ge  0.5000  0.5000  0.0000  2 Br 2.81, 4 I 3.07
I  0.1268  0.4750  0.2560  2 Ge 3.07, 1 Na 3.28
Br  0.3790  0.0910  0.7606  1 Ge 2.81, 3 Na 2.88-2.98

The formation energy without anion corrections is -970 meV/atom. Its total energy is -2.93 eV/atom. For the total magnetic moment, the calculation gives 0.0 μB/cell. As for the crystal system: triclinic. For the density of states at the Fermi level, the calculation gives 0.000 states/eV/cell.

Record 6
First-principles (PBE) data for RbMn2CuC after structural relaxation, as listed in the Alexandria database.

Unit cell a=5.1871 b=5.1871 c=4.4398 alpha=90.00 beta=90.00 gamma=90.00
Last column: nearest neighbours and their distance in Å.
Space group P4/mmm (No. 123)
Unique sites:
Rb  0.0000  0.0000  0.0000  2 C 2.22
Mn  0.0000  0.5000  0.0000  2 Rb 2.59
Cu  0.5000  0.5000  0.5000  8 Mn 3.41, 4 C 3.67
C  0.0000  0.0000  0.5000  2 Rb 2.22

Its total energy is -3.47 eV/atom. For the total magnetic moment, the calculation gives 9.2 μB/cell. As for the crystal system: tetragonal. The formation energy is 3.06 eV per atom. For the density of states at the Fermi level, the calculation gives 4.306 states/eV/cell.